Entry 1:
First-principles (PBE) data for MnAl3Fe3 after structural relaxation, as listed in Alexandria.

Geometry as extended XYZ:
```
14
Lattice="5.8487 -0.0870 -0.0008 -0.0736 5.8488 -0.0008 0.0008 0.0008 5.4319" Properties=species:S:1:pos:R:3 pbc="T T T"
Mn 1.9101 1.9058 5.4313
Mn 3.8657 3.8569 -0.0010
Al 0.0006 0.0006 4.0700
Al 2.9245 -0.0433 1.3595
Al -0.0366 2.9246 1.3595
Al 2.8513 5.8059 4.0708
Al 5.8124 2.8381 4.0708
Al 5.7752 5.7620 1.3603
Fe 1.9088 1.9045 2.7154
Fe 1.4802 4.2923 2.7152
Fe 4.2957 1.4703 2.7152
Fe 1.4165 4.3553 -0.0008
Fe 4.3585 1.4066 -0.0008
Fe 3.8670 3.8582 2.7149
```

Output
The value obtained for the calculated total energy is -6.59 eV/atom. The calculation puts the magnetization at 15.8 μB/cell. Its energy of formation from the pure elements is -0.34 eV/f.u.

***

Entry 2:
First-principles (PBE) data for MnAlFeMo after structural relaxation, as listed in Alexandria.

Geometry as extended XYZ:
```
4
Lattice="-0.7503 -0.8133 2.3858 3.8623 0.6011 1.4195 -0.8851 4.8678 0.3471" Properties=species:S:1:pos:R:3 pbc="T T T"
Mo -1.1264 4.4360 1.1865
Mn 0.8238 3.3782 2.4194
Fe -1.0188 1.6754 2.0626
Al 1.6690 1.5081 0.9116
```

Output
The distance to the lowest polymorph of the same formula comes out at 0.173 eV per atom. The value obtained for the calculated total energy is -8.09 eV/atom. The calculation puts the magnetization at 3.5 μB/cell. Its energy of formation from the pure elements is -0.14 eV/f.u.

***

Entry 3:
First-principles (PBE) data for MnAlFeMo after structural relaxation, as listed in Alexandria.

Geometry as extended XYZ:
```
4
Lattice="2.9564 0.0000 0.0000 0.0000 2.9564 0.0000 0.0000 0.0000 5.8041" Properties=species:S:1:pos:R:3 pbc="T T T"
Mo 1.4782 1.4782 5.6738
Mn 0.0000 0.0000 4.3009
Fe 0.0000 0.0000 1.3762
Al 1.4782 1.4782 2.7992
```

Output
The distance to the lowest polymorph of the same formula comes out at 0.043 eV per atom. The value obtained for the calculated total energy is -8.22 eV/atom. The calculation puts the magnetization at 0.0 μB/cell. Its energy of formation from the pure elements is -0.66 eV/f.u.

***

Entry 4:
First-principles (PBE) data for MnAlFeMo after structural relaxation, as listed in Alexandria.

Geometry as extended XYZ:
```
8
Lattice="4.1079 0.0000 0.0000 0.0000 3.3048 0.0000 0.0000 0.0000 7.7394" Properties=species:S:1:pos:R:3 pbc="T T T"
Mo 0.0000 0.0000 6.4999
Mo 2.0539 1.6524 2.6302
Mn 0.0000 1.6524 0.6600
Mn 2.0539 0.0000 4.5297
Fe 0.0000 1.6524 4.5980
Fe 2.0539 0.0000 0.7284
Al 0.0000 0.0000 2.6535
Al 2.0539 1.6524 6.5232
```

Output
The distance to the lowest polymorph of the same formula comes out at 0.152 eV per atom. The value obtained for the calculated total energy is -8.11 eV/atom. The calculation puts the magnetization at 5.3 μB/cell. Its energy of formation from the pure elements is -0.22 eV/f.u.

***

Number 1: D(E_F) 5.2 states/eV/f.u.. Number 2: D(E_F) 3.7 states/eV/f.u.. Number 3: D(E_F) 1.2 states/eV/f.u.. Number 4: D(E_F) 3.6 states/eV/f.u..